Here is crystalline CsReF5 at its relaxed geometry from Alexandria via LeMat-Bulk. Energies are from PBE.

CIF file:
```
data_CsReF5
_cell_length_a 6.553
_cell_length_b 6.553
_cell_length_c 8.861
_cell_angle_alpha 94.52
_cell_angle_beta 119.62
_cell_angle_gamma 103.00
_space_group_name_H-M_alt 'P 1'
_space_group_IT_number 1
loop_
_space_group_symop_operation_xyz
'x,y,z'
loop_
_atom_site_label
_atom_site_type_symbol
_atom_site_fract_x
_atom_site_fract_y
_atom_site_fract_z
F1 F 0.310 0.060 0.250
F2 F 0.545 0.748 0.402
F3 F 0.455 0.252 0.598
F4 F 0.690 0.940 0.750
F5 F 0.834 0.725 0.023
F6 F 0.846 0.143 0.098
F7 F 0.798 0.188 0.523
Cs1 Cs 0.720 0.470 0.250
Re1 Re 0.500 0.000 0.500
F8 F 0.202 0.812 0.477
F9 F 0.166 0.275 0.977
F10 F 0.154 0.857 0.902
Cs2 Cs 0.280 0.530 0.750
Re2 Re 0.000 0.000 0.000
```

Values from the calculation:
- density (g/cm³) = 4.379
- E (eV per atom) = -5.520
- formation energy (no corrections) (eV/atom) = -2.283